## GaFeMoOs (GGA-PBE)

Data for GaFeMoOs after structural relaxation.

extended XYZ file:
```
4
Lattice="0.0000 3.0278 3.0278 3.0278 0.0000 3.0278 3.0278 3.0278 0.0000" Properties=species:S:1:pos:R:3 pbc="T T T"
Ga 0.0000 0.0000 0.0000
Fe 1.5139 1.5139 1.5139
Mo 3.0278 3.0278 3.0278
Os 4.5417 4.5417 4.5417
```

Values from the calculation:
Its symmetry is F-43m (216). Its density of states at the Fermi level is 0.8523 states/eV per atom. As for the total energy: -8.34 eV per atom. For the calculated formation energy, the calculation gives 0.183 eV/f.u.